VASP calculation (GGA-PBE) on a relaxed structure of Ca6TlSi2.

abc: 8.872 8.872 8.872
angles: 112.56 111.50 104.47
Element x y z (fractional)
Ca (0.019, 0.825, 0.194)
Ca (0.245, 0.542, 0.297)
Ca (0.245, 0.948, 0.703)
Ca (0.282, 0.315, 0.596)
Ca (0.282, 0.685, 0.967)
Ca (0.369, 0.175, 0.194)
Ca (0.631, 0.825, 0.806)
Ca (0.718, 0.315, 0.033)
Ca (0.718, 0.685, 0.404)
Ca (0.755, 0.052, 0.297)
Ca (0.755, 0.458, 0.703)
Ca (0.981, 0.175, 0.806)
Tl (0.000, 0.500, 0.500)
Tl (0.500, 0.000, 0.500)
Si (0.000, 0.143, 0.143)
Si (0.000, 0.857, 0.857)
Si (0.388, 0.388, 0.000)
Si (0.612, 0.612, 0.000)

Results
The value obtained for the total DFT energy (no corrections) is -3.179 eV/atom. The energy relative to the elements, uncorrected comes out at -0.377 eV/atom.